1.
A plane-wave DFT calculation with PBE was carried out for a geometry-optimized LiMnAsS4 structure.

Cell lengths 6.9238, 8.0445, 9.9096 Å; angles 90.00, 90.00, 90.00 degrees
Closest atoms and distances in Å follow each position.
Space group Imma (No. 74)
Symmetry-distinct sites (fractional):
1 Li 0.0000 0.0000 0.0000 (multiplicity 4)  6 S 2.49-2.61
2 Mn 0.2500 0.2500 0.2500 (multiplicity 4)  6 S 2.34-2.39
3 As 0.0000 0.2500 0.6229 (multiplicity 4)  2 S 2.23
4 S 0.0000 0.0551 0.2469 (multiplicity 8)  2 Mn 2.34, 1 Li 2.49
5 S 0.2394 0.2500 0.0088 (multiplicity 8)  1 As 2.23, 1 Mn 2.39

Calculated values
formation energy without anion corrections: -0.494 eV/atom
uncorrected energy: -5.100 eV per atom
mass density: 3.2 g/cm3

---

2.
A plane-wave DFT calculation with PBE was carried out for a geometry-optimized Li2MnAsS4 structure.

Cell lengths 5.6290, 5.6290, 10.8075 Å; angles 90.00, 90.00, 90.00 degrees
Closest atoms and distances in Å follow each position.
Space group I-4 (No. 82)
Symmetry-distinct sites (fractional):
1 Li 0.0000 0.0000 0.0000 (multiplicity 2)  4 S 2.48
2 Li 0.0000 0.5000 0.2500 (multiplicity 2)  4 S 2.45
3 Mn 0.0000 0.5000 0.7500 (multiplicity 2)  4 S 2.34
4 As 0.0000 0.0000 0.5000 (multiplicity 2)  4 S 2.35
5 S 0.2311 0.2487 0.6269 (multiplicity 8)  1 Mn 2.34, 1 As 2.35, 2 Li 2.45-2.48

Calculated values
formation energy without anion corrections: -0.667 eV/atom
uncorrected energy: -4.937 eV per atom
mass density: 2.6 g/cm3

---

3.
A plane-wave DFT calculation with PBE was carried out for a geometry-optimized Li2Mn2As2S structure.

Cell lengths 4.4148, 4.4148, 13.2452 Å; angles 90.00, 90.00, 90.00 degrees
Closest atoms and distances in Å follow each position.
Space group I4/mmm (No. 139)
Symmetry-distinct sites (fractional):
1 Li 0.0000 0.0000 0.1812 (multiplicity 4)  1 S 2.40, 1 As 2.61
2 Mn 0.0000 0.5000 0.0000 (multiplicity 4)  2 S 2.21
3 As 0.0000 0.0000 0.3780 (multiplicity 4)  1 Li 2.61, 4 Mn 2.74
4 S 0.0000 0.0000 0.0000 (multiplicity 2)  4 Mn 2.21, 2 Li 2.40

Calculated values
formation energy without anion corrections: -0.284 eV/atom
uncorrected energy: -5.369 eV per atom
mass density: 3.9 g/cm3

---

4.
A plane-wave DFT calculation with PBE was carried out for a geometry-optimized LiMnAs2S structure.

Cell lengths 4.6792, 4.6792, 4.7098 Å; angles 90.00, 90.00, 90.00 degrees
Closest atoms and distances in Å follow each position.
Space group P4/mmm (No. 123)
Symmetry-distinct sites (fractional):
1 Li 0.0000 0.0000 0.0000 (multiplicity 1)  4 S 3.31, 8 As 3.32
2 Mn 0.5000 0.5000 0.5000 (multiplicity 1)  4 As 2.34, 2 S 2.35
3 As 0.0000 0.5000 0.5000 (multiplicity 2)  2 Mn 2.34
4 S 0.5000 0.5000 0.0000 (multiplicity 1)  2 Mn 2.35

Calculated values
formation energy without anion corrections: 0.059 eV/atom
uncorrected energy: -4.843 eV per atom
mass density: 3.9 g/cm3

---

5.
A plane-wave DFT calculation with PBE was carried out for a geometry-optimized LiMn2AsSe4 structure.

Cell lengths 7.0080, 6.0990, 7.7388 Å; angles 90.00, 90.00, 90.00 degrees
Closest atoms and distances in Å follow each position.
Space group Pmn2_1 (No. 31)
Symmetry-distinct sites (fractional):
1 Li 0.0000 0.1544 0.0000 (multiplicity 2)  4 Se 2.61-2.66
2 Mn 0.1936 0.4430 0.5364 (multiplicity 4)  4 Se 2.35-2.47, 1 As 2.42
3 As 0.0000 0.7370 0.4224 (multiplicity 2)  2 Mn 2.42, 1 Se 2.53
4 Se 0.0000 0.1686 0.6581 (multiplicity 2)  2 Mn 2.35
5 Se 0.0000 0.7435 0.0954 (multiplicity 2)  2 Mn 2.47, 1 As 2.53, 1 Li 2.61
6 Se 0.2323 0.2918 0.2496 (multiplicity 4)  2 Mn 2.37-2.42

Calculated values
formation energy without anion corrections: -0.326 eV/atom
uncorrected energy: -5.181 eV per atom
mass density: 5.1 g/cm3

---

6.
A plane-wave DFT calculation with PBE was carried out for a geometry-optimized LiMnSiAs2 structure.

Cell lengths 4.7752, 4.7752, 4.3341 Å; angles 90.00, 90.00, 90.00 degrees
Closest atoms and distances in Å follow each position.
Space group P4/mmm (No. 123)
Symmetry-distinct sites (fractional):
1 Li 0.0000 0.0000 0.0000 (multiplicity 1)  2 Si 2.17
2 Mn 0.5000 0.5000 0.0000 (multiplicity 1)  8 As 3.22, 4 Li 3.38
3 Si 0.0000 0.0000 0.5000 (multiplicity 1)  2 Li 2.17, 4 As 2.39
4 As 0.0000 0.5000 0.5000 (multiplicity 2)  2 Si 2.39

Calculated values
formation energy without anion corrections: 1.077 eV/atom
uncorrected energy: -4.084 eV per atom
mass density: 4.0 g/cm3